[1]
First-principles (meta-GGA SCAN) data for a PBEsol-optimized structure of CoAgPO4, as listed in the Alexandria database.

## Properties
final energy	-12.50	eV/atom
uncorrected formation energy	-502	meV per atom
DOS(E_F)	0.167	states/eV per atom

Lattice parameters (Å, degrees): 6.143 6.932 8.997 78.45 85.41 87.60
Element x y z (fractional)
1 Co 0.066 0.036 0.125
2 Co 0.384 0.901 0.413
3 Co 0.616 0.099 0.587
4 Co 0.934 0.964 0.875
5 Ag 0.174 0.379 0.473
6 Ag 0.366 0.112 0.873
7 Ag 0.634 0.888 0.127
8 Ag 0.826 0.621 0.527
9 P 0.006 0.236 0.922
10 P 0.083 0.855 0.552
11 P 0.917 0.145 0.448
12 P 0.994 0.764 0.078
13 O 0.042 0.558 0.157
14 O 0.103 0.867 0.720
15 O 0.307 0.987 0.223
16 O 0.392 0.646 0.391
17 O 0.402 0.375 0.676
18 O 0.415 0.723 0.957
19 O 0.428 0.152 0.438
20 O 0.487 0.644 0.851
21 O 0.513 0.356 0.149
22 O 0.572 0.848 0.562
23 O 0.585 0.277 0.043
24 O 0.598 0.625 0.324
25 O 0.608 0.354 0.609
26 O 0.693 0.013 0.777
27 O 0.897 0.133 0.280
28 O 0.958 0.442 0.843

***

[2]
First-principles (meta-GGA SCAN) data for a PBEsol-optimized structure of ScCo2Te, as listed in the Alexandria database.

## Properties
final energy	-21.68	eV/atom
uncorrected formation energy	-161	meV per atom
DOS(E_F)	0.706	states/eV per atom

Lattice parameters (Å, degrees): 4.068 4.068 3.534 90.00 90.00 90.00
Element x y z (fractional)
1 Sc 0.000 0.000 0.000
2 Co 0.000 0.500 0.500
3 Co 0.500 0.000 0.500
4 Te 0.500 0.500 0.000

***

[3]
First-principles (meta-GGA SCAN) data for a PBEsol-optimized structure of SrZn2Sb, as listed in the Alexandria database.

## Properties
final energy	-21.96	eV/atom
uncorrected formation energy	-316	meV per atom
DOS(E_F)	0.316	states/eV per atom

Lattice parameters (Å, degrees): 6.402 6.402 6.402 40.52 40.52 40.52
Element x y z (fractional)
1 Sr 0.000 0.000 0.000
2 Zn 0.229 0.229 0.229
3 Zn 0.771 0.771 0.771
4 Sb 0.500 0.500 0.500

***

[4]
First-principles (meta-GGA SCAN) data for a PBEsol-optimized structure of Cs2YCuI6, as listed in the Alexandria database.

## Properties
final energy	-35.22	eV/atom
uncorrected formation energy	-1304	meV per atom
DOS(E_F)	0.000	states/eV per atom

Lattice parameters (Å, degrees): 8.200 8.200 8.200 60.00 60.00 60.00
Element x y z (fractional)
1 Cs 0.250 0.250 0.250
2 Cs 0.750 0.750 0.750
3 Y 0.000 0.000 0.000
4 Cu 0.500 0.500 0.500
5 I 0.258 0.258 0.742
6 I 0.258 0.742 0.258
7 I 0.258 0.742 0.742
8 I 0.742 0.258 0.258
9 I 0.742 0.258 0.742
10 I 0.742 0.742 0.258

***

[5]
First-principles (meta-GGA SCAN) data for a PBEsol-optimized structure of Hg2MoAu, as listed in the Alexandria database.

## Properties
final energy	-59.57	eV/atom
DOS(E_F)	0.723	states/eV per atom

Lattice parameters (Å, degrees): 2.868 4.067 6.158 90.00 90.00 90.00
Element x y z (fractional)
1 Hg 0.000 0.000 0.244
2 Hg 0.000 0.000 0.756
3 Mo 0.500 0.500 0.000
4 Au 0.500 0.500 0.500

***

[6]
First-principles (meta-GGA SCAN) data for a PBEsol-optimized structure of KAs2HO6, as listed in the Alexandria database.

## Properties
final energy	-10.42	eV/atom
DOS(E_F)	0.000	states/eV per atom

Lattice parameters (Å, degrees): 6.099 9.673 9.251 90.00 95.78 90.00
Element x y z (fractional)
1 K 0.104 0.192 0.485
2 K 0.104 0.308 0.985
3 K 0.896 0.692 0.015
4 K 0.896 0.808 0.515
5 As 0.342 0.609 0.754
6 As 0.342 0.891 0.254
7 As 0.384 0.600 0.417
8 As 0.384 0.900 0.917
9 As 0.616 0.100 0.083
10 As 0.616 0.400 0.583
11 As 0.658 0.109 0.746
12 As 0.658 0.391 0.246
13 H 0.040 0.548 0.283
14 H 0.040 0.952 0.783
15 H 0.960 0.048 0.217
16 H 0.960 0.452 0.717
17 O 0.111 0.551 0.818
18 O 0.111 0.949 0.318
19 O 0.116 0.633 0.331
20 O 0.116 0.867 0.831
21 O 0.297 0.688 0.586
22 O 0.297 0.812 0.086
23 O 0.334 0.071 0.995
24 O 0.334 0.429 0.495
25 O 0.459 0.520 0.241
26 O 0.459 0.980 0.741
27 O 0.489 0.728 0.866
28 O 0.489 0.772 0.366
29 O 0.511 0.228 0.634
30 O 0.511 0.272 0.134
31 O 0.541 0.020 0.259
32 O 0.541 0.480 0.759
33 O 0.666 0.571 0.505
34 O 0.666 0.929 0.005
35 O 0.703 0.188 0.914
36 O 0.703 0.312 0.414
37 O 0.884 0.133 0.169
38 O 0.884 0.367 0.669
39 O 0.889 0.051 0.682
40 O 0.889 0.449 0.182

***

[7]
First-principles (meta-GGA SCAN) data for a PBEsol-optimized structure of Fe6MoW, as listed in the Alexandria database.

## Properties
final energy	-26.43	eV/atom
DOS(E_F)	0.776	states/eV per atom

Lattice parameters (Å, degrees): 6.166 6.166 10.067 90.00 90.00 109.43
Element x y z (fractional)
1 Fe 0.000 0.000 0.000
2 Fe 0.000 0.000 0.500
3 Fe 0.124 0.375 0.125
4 Fe 0.124 0.375 0.875
5 Fe 0.125 0.374 0.375
6 Fe 0.125 0.374 0.625
7 Fe 0.249 0.751 0.249
8 Fe 0.249 0.751 0.751
9 Fe 0.374 0.125 0.375
10 Fe 0.374 0.125 0.625
11 Fe 0.375 0.124 0.125
12 Fe 0.375 0.124 0.875
13 Fe 0.500 0.500 0.000
14 Fe 0.500 0.500 0.500
15 Fe 0.625 0.876 0.125
16 Fe 0.625 0.876 0.875
17 Fe 0.626 0.875 0.375
18 Fe 0.626 0.875 0.625
19 Fe 0.751 0.249 0.249
20 Fe 0.751 0.249 0.751
21 Fe 0.875 0.626 0.375
22 Fe 0.875 0.626 0.625
23 Fe 0.876 0.625 0.125
24 Fe 0.876 0.625 0.875
25 Mo 0.000 0.000 0.250
26 Mo 0.000 0.000 0.750
27 Mo 0.250 0.750 0.000
28 Mo 0.750 0.250 0.000
29 W 0.250 0.750 0.500
30 W 0.500 0.500 0.250
31 W 0.500 0.500 0.750
32 W 0.750 0.250 0.500

***

[8]
First-principles (meta-GGA SCAN) data for a PBEsol-optimized structure of Ca2Mg2Cu, as listed in the Alexandria database.

## Properties
final energy	-8.95	eV/atom
DOS(E_F)	0.533	states/eV per atom

Lattice parameters (Å, degrees): 6.116 6.116 6.116 50.31 50.31 50.31
Element x y z (fractional)
1 Ca 0.113 0.113 0.113
2 Ca 0.887 0.887 0.887
3 Mg 0.335 0.335 0.335
4 Mg 0.665 0.665 0.665
5 Cu 0.500 0.500 0.500

***

Question: DOS(E_F) of number 1 (CoAgPO4)?
Answer: 0.167 states/eV per atom